DFT (PBE) results for crystalline HfRe at its relaxed geometry.

Cell lengths 5.434, 9.389, 4.702 Å; angles 90.00, 90.00, 90.00 degrees
Space group Pmmn (No. 59, origin choice 2)
Symmetry-distinct sites (fractional):
Hf: 0.250 0.083 0.006 x4
Hf: 0.250 0.750 0.752 x2
Re: 0.000 0.000 0.500 x4
Re: 0.250 0.250 0.510 x2

- DFT total energy (eV per atom) = -11.1349

=====

DFT (PBE) results for crystalline HfRe at its relaxed geometry.

Cell lengths 10.852, 5.316, 5.249 Å; angles 90.00, 90.00, 90.00 degrees
Space group Pnma (No. 62)
Symmetry-distinct sites (fractional):
Hf: 0.067 0.250 0.014 x4
Hf: 0.213 0.750 0.197 x4
Re: 0.000 0.000 0.500 x4
Re: 0.170 0.750 0.706 x4

- DFT total energy (eV per atom) = -11.1622